--- w ---
Compound: Tm2Pa2Te7
Source: the Alexandria database
Functional: GGA-PBE
Structure: relaxed

Summary:
- crystal system = tetragonal
- M_tot (μB per formula unit) = 2.01

abc: 5.210 5.210 14.639
angles: 90.00 90.00 90.00
Fractional positions:
Tm (0.000, 0.500, 0.136)
Tm (0.500, 0.000, 0.864)
Pa (0.000, 0.500, 0.627)
Pa (0.500, 0.000, 0.373)
Te (0.000, 0.000, 0.232)
Te (0.000, 0.000, 0.500)
Te (0.000, 0.000, 0.768)
Te (0.500, 0.500, 0.000)
Te (0.500, 0.500, 0.254)
Te (0.500, 0.500, 0.500)
Te (0.500, 0.500, 0.746)



--- x ---
Compound: Tm2Pa2Te7
Source: the Alexandria database
Functional: GGA-PBE
Structure: relaxed

Summary:
- crystal system = orthorhombic
- M_tot (μB per formula unit) = 1.73

abc: 9.536 9.536 9.536
angles: 154.28 67.73 118.56
Fractional positions:
Tm (0.000, 0.000, 0.000)
Tm (0.542, 0.042, 0.500)
Pa (0.460, 0.221, 0.239)
Pa (0.983, 0.221, 0.761)
Te (0.172, 0.530, 0.642)
Te (0.248, 0.927, 0.321)
Te (0.309, 0.309, 0.000)
Te (0.607, 0.927, 0.679)
Te (0.610, 0.719, 0.891)
Te (0.829, 0.719, 0.109)
Te (0.889, 0.530, 0.358)



Which is most stable, and by how much? x, by 168 meV per atom.



--- w ---
Compound: TmPaTe4
Source: the Alexandria database
Functional: GGA-PBE
Structure: relaxed

Summary:
- crystal system = orthorhombic
- M_tot (μB per formula unit) = 0.10

abc: 7.171 7.171 4.469
angles: 90.00 90.00 91.08
Fractional positions:
Tm (0.000, 0.000, 0.000)
Pa (0.500, 0.500, 0.500)
Te (0.202, 0.202, 0.500)
Te (0.302, 0.698, 0.000)
Te (0.698, 0.302, 0.000)
Te (0.798, 0.798, 0.500)



--- x ---
Compound: TmPaTe4
Source: the Alexandria database
Functional: GGA-PBE
Structure: relaxed

Summary:
- crystal system = monoclinic
- M_tot (μB per formula unit) = 0.00

abc: 7.210 4.369 7.396
angles: 90.00 90.71 90.00
Fractional positions:
Tm (0.000, 0.000, 0.000)
Pa (0.000, 0.500, 0.500)
Te (0.239, 0.500, 0.174)
Te (0.243, 0.000, 0.663)
Te (0.757, 0.000, 0.337)
Te (0.761, 0.500, 0.826)



Which is most stable, and by how much? x, by 116 meV per atom.



--- w ---
Compound: Pa2VTe
Source: the Alexandria database
Functional: GGA-PBE
Structure: relaxed

Summary:
- crystal system = trigonal
- M_tot (μB per formula unit) = 1.44

abc: 7.760 7.760 7.760
angles: 29.99 29.99 29.99
Fractional positions:
Pa (0.233, 0.233, 0.233)
Pa (0.767, 0.767, 0.767)
V (0.500, 0.500, 0.500)
Te (0.000, 0.000, 0.000)



--- x ---
Compound: Pa2VTe
Source: the Alexandria database
Functional: GGA-PBE
Structure: relaxed

Summary:
- crystal system = tetragonal
- M_tot (μB per formula unit) = 0.96

abc: 4.354 4.354 4.601
angles: 90.00 90.00 90.00
Fractional positions:
Pa (0.000, 0.500, 0.000)
Pa (0.500, 0.000, 0.000)
V (0.000, 0.000, 0.500)
Te (0.500, 0.500, 0.500)



Which is most stable, and by how much? x, by 164 meV per atom.



--- w ---
Compound: PaVTe4
Source: the Alexandria database
Functional: GGA-PBE
Structure: relaxed

Summary:
- crystal system = orthorhombic
- M_tot (μB per formula unit) = 2.11

abc: 9.826 9.826 6.911
angles: 90.00 90.00 148.85
Fractional positions:
Pa (0.155, 0.845, 0.500)
Pa (0.845, 0.155, 0.000)
V (0.405, 0.595, 0.640)
V (0.595, 0.405, 0.140)
Te (0.095, 0.905, 0.083)
Te (0.279, 0.721, 0.818)
Te (0.324, 0.676, 0.296)
Te (0.457, 0.543, 0.002)
Te (0.543, 0.457, 0.502)
Te (0.676, 0.324, 0.796)
Te (0.721, 0.279, 0.318)
Te (0.905, 0.095, 0.583)



--- x ---
Compound: PaVTe4
Source: the Alexandria database
Functional: GGA-PBE
Structure: relaxed

Summary:
- crystal system = monoclinic
- M_tot (μB per formula unit) = 2.00

abc: 8.027 8.027 6.903
angles: 114.05 114.05 29.92
Fractional positions:
Pa (0.000, 0.000, 0.000)
V (0.500, 0.500, 0.500)
Te (0.117, 0.117, 0.752)
Te (0.372, 0.372, 0.695)
Te (0.628, 0.628, 0.305)
Te (0.883, 0.883, 0.248)



Which is most stable, and by how much? x, by 145 meV per atom.



--- w ---
Compound: PaTeW
Source: the Alexandria database
Functional: GGA-PBE
Structure: relaxed

Summary:
- crystal system = tetragonal
- M_tot (μB per formula unit) = 0.00

abc: 6.162 6.162 6.162
angles: 147.88 147.88 46.06
Fractional positions:
Pa (0.000, 0.000, 0.000)
Te (0.295, 0.295, 0.000)
W (0.665, 0.665, 0.000)



--- x ---
Compound: PaTeW
Source: the Alexandria database
Functional: GGA-PBE
Structure: relaxed

Summary:
- crystal system = triclinic
- M_tot (μB per formula unit) = 0.00

abc: 3.427 4.977 10.292
angles: 92.29 96.87 102.91
Fractional positions:
Pa (0.026, 0.204, 0.141)
Pa (0.974, 0.796, 0.859)
Te (0.161, 0.744, 0.337)
Te (0.839, 0.256, 0.663)
W (0.442, 0.313, 0.880)
W (0.558, 0.687, 0.120)



Which is most stable, and by how much? x, by 182 meV per atom.



--- w ---
Compound: Pa2TeW
Source: the Alexandria database
Functional: GGA-PBE
Structure: relaxed

Summary:
- crystal system = trigonal
- M_tot (μB per formula unit) = 0.00

abc: 10.744 10.744 10.744
angles: 17.35 17.35 17.35
Fractional positions:
Pa (0.082, 0.082, 0.082)
Pa (0.918, 0.918, 0.918)
Te (0.500, 0.500, 0.500)
W (0.000, 0.000, 0.000)



--- x ---
Compound: Pa2TeW
Source: the Alexandria database
Functional: GGA-PBE
Structure: relaxed

Summary:
- crystal system = tetragonal
- M_tot (μB per formula unit) = 0.00

abc: 3.448 3.448 7.973
angles: 90.00 90.00 90.00
Fractional positions:
Pa (0.000, 0.000, 0.223)
Pa (0.000, 0.000, 0.777)
Te (0.500, 0.500, 0.500)
W (0.500, 0.500, 0.000)



Which is most stable, and by how much? x, by 586 meV per atom.



--- w ---
Compound: Y2Pa2Te7
Source: the Alexandria database
Functional: GGA-PBE
Structure: relaxed

Summary:
- crystal system = tetragonal
- M_tot (μB per formula unit) = 1.99

abc: 5.229 5.229 14.726
angles: 90.00 90.00 90.00
Fractional positions:
Y (0.000, 0.500, 0.136)
Y (0.500, 0.000, 0.864)
Pa (0.000, 0.500, 0.626)
Pa (0.500, 0.000, 0.374)
Te (0.000, 0.000, 0.236)
Te (0.000, 0.000, 0.500)
Te (0.000, 0.000, 0.764)
Te (0.500, 0.500, 0.000)
Te (0.500, 0.500, 0.256)
Te (0.500, 0.500, 0.500)
Te (0.500, 0.500, 0.744)



--- x ---
Compound: Y2Pa2Te7
Source: the Alexandria database
Functional: GGA-PBE
Structure: relaxed

Summary:
- crystal system = orthorhombic
- M_tot (μB per formula unit) = 1.85

abc: 9.658 9.658 9.658
angles: 154.62 66.64 119.54
Fractional positions:
Y (0.239, 0.000, 0.239)
Y (0.761, 0.000, 0.761)
Pa (0.322, 0.822, 0.500)
Pa (0.771, 0.771, 0.000)
Te (0.025, 0.706, 0.320)
Te (0.086, 0.086, 0.000)
Te (0.386, 0.706, 0.680)
Te (0.387, 0.495, 0.892)
Te (0.604, 0.495, 0.108)
Te (0.678, 0.316, 0.362)
Te (0.954, 0.316, 0.638)



Which is most stable, and by how much? x, by 167 meV per atom.



--- w ---
Compound: Pa2ZnTe
Source: the Alexandria database
Functional: GGA-PBE
Structure: relaxed

Summary:
- crystal system = trigonal
- M_tot (μB per formula unit) = 0.00

abc: 7.200 7.200 7.200
angles: 34.65 34.65 34.65
Fractional positions:
Pa (0.240, 0.240, 0.240)
Pa (0.760, 0.760, 0.760)
Zn (0.500, 0.500, 0.500)
Te (0.000, 0.000, 0.000)



--- x ---
Compound: Pa2ZnTe
Source: the Alexandria database
Functional: GGA-PBE
Structure: relaxed

Summary:
- crystal system = tetragonal
- M_tot (μB per formula unit) = 1.87

abc: 4.754 4.754 4.226
angles: 90.00 90.00 90.00
Fractional positions:
Pa (0.000, 0.500, 0.000)
Pa (0.500, 0.000, 0.000)
Zn (0.000, 0.000, 0.500)
Te (0.500, 0.500, 0.500)



Which is most stable, and by how much? x, by 27 meV per atom.



--- w ---
Compound: ZrPaTe3
Source: the Alexandria database
Functional: GGA-PBE
Structure: relaxed

Summary:
- crystal system = monoclinic
- M_tot (μB per formula unit) = 0.22

abc: 7.356 7.356 7.119
angles: 100.21 100.21 122.00
Fractional positions:
Zr (0.177, 0.823, 0.000)
Zr (0.823, 0.177, 0.000)
Pa (0.332, 0.668, 0.500)
Pa (0.668, 0.332, 0.500)
Te (0.098, 0.400, 0.759)
Te (0.241, 0.241, 0.237)
Te (0.400, 0.098, 0.759)
Te (0.600, 0.902, 0.241)
Te (0.759, 0.759, 0.763)
Te (0.902, 0.600, 0.241)



--- x ---
Compound: ZrPaTe3
Source: the Alexandria database
Functional: GGA-PBE
Structure: relaxed

Summary:
- crystal system = orthorhombic
- M_tot (μB per formula unit) = 0.94

abc: 11.017 11.017 7.301
angles: 90.00 90.00 157.90
Fractional positions:
Zr (0.170, 0.830, 0.500)
Zr (0.830, 0.170, 0.000)
Pa (0.337, 0.663, 0.502)
Pa (0.663, 0.337, 0.002)
Te (0.083, 0.917, 0.816)
Te (0.250, 0.750, 0.168)
Te (0.411, 0.589, 0.852)
Te (0.589, 0.411, 0.352)
Te (0.750, 0.250, 0.668)
Te (0.917, 0.083, 0.316)



Which is most stable, and by how much? w, by 41 meV per atom.



--- w ---
Compound: ThPa4
Source: the Alexandria database
Functional: GGA-PBE
Structure: relaxed

Summary:
- crystal system = tetragonal
- M_tot (μB per formula unit) = 0.00

abc: 10.194 10.194 6.092
angles: 90.00 90.00 90.00
Fractional positions:
Th (0.224, 0.276, 0.000)
Th (0.276, 0.776, 0.000)
Th (0.724, 0.224, 0.000)
Th (0.776, 0.724, 0.000)
Pa (0.000, 0.000, 0.224)
Pa (0.000, 0.000, 0.776)
Pa (0.099, 0.599, 0.500)
Pa (0.105, 0.208, 0.500)
Pa (0.208, 0.895, 0.500)
Pa (0.292, 0.395, 0.500)
Pa (0.395, 0.708, 0.500)
Pa (0.401, 0.099, 0.500)
Pa (0.500, 0.500, 0.224)
Pa (0.500, 0.500, 0.776)
Pa (0.599, 0.901, 0.500)
Pa (0.605, 0.292, 0.500)
Pa (0.708, 0.605, 0.500)
Pa (0.792, 0.105, 0.500)
Pa (0.895, 0.792, 0.500)
Pa (0.901, 0.401, 0.500)



--- x ---
Compound: ThPa4
Source: the Alexandria database
Functional: GGA-PBE
Structure: relaxed

Summary:
- crystal system = cubic
- M_tot (μB per formula unit) = 0.70

abc: 5.473 5.473 5.473
angles: 90.00 90.00 90.00
Fractional positions:
Th (0.000, 0.000, 0.000)
Pa (0.000, 0.000, 0.500)
Pa (0.000, 0.500, 0.000)
Pa (0.500, 0.000, 0.000)
Pa (0.500, 0.500, 0.500)



Which is most stable, and by how much? w, by 739 meV per atom.



--- w ---
Compound: ThPa3
Source: the Alexandria database
Functional: GGA-PBE
Structure: relaxed

Summary:
- crystal system = orthorhombic
- M_tot (μB per formula unit) = 0.00

abc: 3.258 5.721 5.666
angles: 90.00 90.00 90.00
Fractional positions:
Th (0.000, 0.000, 0.000)
Pa (0.000, 0.500, 0.669)
Pa (0.500, 0.000, 0.499)
Pa (0.500, 0.500, 0.175)



--- x ---
Compound: ThPa3
Source: the Alexandria database
Functional: GGA-PBE
Structure: relaxed

Summary:
- crystal system = tetragonal
- M_tot (μB per formula unit) = 0.00

abc: 5.817 5.817 5.817
angles: 132.07 132.07 70.13
Fractional positions:
Th (0.000, 0.000, 0.000)
Pa (0.250, 0.750, 0.500)
Pa (0.500, 0.500, 0.000)
Pa (0.750, 0.250, 0.500)



--- y ---
Compound: ThPa3
Source: the Alexandria database
Functional: GGA-PBE
Structure: relaxed

Summary:
- crystal system = cubic
- M_tot (μB per formula unit) = 0.00

abc: 5.314 5.314 5.314
angles: 60.00 60.00 60.00
Fractional positions:
Th (0.000, 0.000, 0.000)
Pa (0.250, 0.250, 0.250)
Pa (0.500, 0.500, 0.500)
Pa (0.750, 0.750, 0.750)



Which is most stable, and by how much? x, by 33 meV per atom.



--- w ---
Compound: ThPa2Tl
Source: the Alexandria database
Functional: GGA-PBE
Structure: relaxed

Summary:
- crystal system = cubic
- M_tot (μB per formula unit) = 0.00

abc: 5.352 5.352 5.352
angles: 60.00 60.00 60.00
Fractional positions:
Th (0.000, 0.000, 0.000)
Pa (0.250, 0.250, 0.250)
Pa (0.750, 0.750, 0.750)
Tl (0.500, 0.500, 0.500)



--- x ---
Compound: ThPa2Tl
Source: the Alexandria database
Functional: GGA-PBE
Structure: relaxed

Summary:
- crystal system = tetragonal
- M_tot (μB per formula unit) = 1.23

abc: 4.098 4.098 6.681
angles: 90.00 90.00 90.00
Fractional positions:
Th (0.000, 0.000, 0.000)
Pa (0.500, 0.500, 0.282)
Pa (0.500, 0.500, 0.718)
Tl (0.000, 0.000, 0.500)



Which is most stable, and by how much? x, by 64 meV per atom.